Density functional theory data (PBE-GGA) for Pr3Er3CoTe2 after structural relaxation.

* energy: -5.18 eV/atom
* symmetry: P-62m
* magnetization: 0.44 μB/f.u.

Unit cell a=8.5999 b=8.5999 c=3.8518 alpha=90.00 beta=90.00 gamma=120.00
Last column: nearest neighbours and their distance in Å.
Atoms (fractional coordinates):
Pr 0.0000 0.7583 0.0000  2 Co 2.83
Pr 0.2417 0.2417 0.0000  2 Co 2.83
Pr 0.7583 0.0000 0.0000  2 Co 2.83
Er 0.0000 0.4095 0.5000  4 Te 3.24, 1 Co 3.52, 6 Pr 3.56-3.62
Er 0.4095 0.0000 0.5000  4 Te 3.24, 1 Co 3.52, 6 Pr 3.56-3.62
Er 0.5905 0.5905 0.5000  4 Te 3.24, 1 Co 3.52, 6 Pr 3.56-3.62
Co 0.0000 0.0000 0.5000  6 Pr 2.83
Te 0.3333 0.6667 0.0000  6 Er 3.24, 3 Pr 3.33
Te 0.6667 0.3333 0.0000  6 Er 3.24, 3 Pr 3.33

***

Density functional theory data (PBE-GGA) for Pr3Er3CoTe2 after structural relaxation.

* energy: -5.31 eV/atom
* symmetry: P-62m
* magnetization: 0.03 μB/f.u.

Unit cell a=8.4748 b=8.4748 c=4.0333 alpha=90.00 beta=90.00 gamma=120.00
Last column: nearest neighbours and their distance in Å.
Atoms (fractional coordinates):
Pr 0.0000 0.4031 0.0000  4 Te 3.28, 1 Co 3.42, 4 Er 3.59
Pr 0.4031 0.0000 0.0000  4 Te 3.28, 1 Co 3.42, 4 Er 3.59
Pr 0.5969 0.5969 0.0000  4 Te 3.28, 1 Co 3.42, 4 Er 3.59
Er 0.0000 0.7714 0.5000  2 Co 2.80
Er 0.2286 0.2286 0.5000  2 Co 2.80
Er 0.7714 0.0000 0.5000  2 Co 2.80
Co 0.0000 0.0000 0.0000  6 Er 2.80
Te 0.3333 0.6667 0.5000  6 Pr 3.28, 3 Er 3.36
Te 0.6667 0.3333 0.5000  6 Pr 3.28, 3 Er 3.36

***

Density functional theory data (PBE-GGA) for Er2CoSi4Pt after structural relaxation.

* energy: -6.37 eV/atom
* symmetry: Amm2
* magnetization: 0.00 μB/f.u.

Unit cell a=4.0723 b=8.5497 c=8.5497 alpha=27.11 beta=90.00 gamma=90.00
Last column: nearest neighbours and their distance in Å.
Atoms (fractional coordinates):
Er 0.0000 0.0000 0.0000  10 Si 3.01-3.06, 4 Co 3.10
Er 0.5000 0.2070 0.2070  10 Si 3.09-3.32, 4 Pt 3.10
Co 0.5000 0.4276 0.4276  5 Si 2.23-2.29
Si 0.0000 0.3647 0.3647  2 Co 2.29, 2 Pt 2.46
Si 0.0000 0.6367 0.6367  1 Pt 2.36, 2 Si 2.39
Si 0.5000 0.5617 0.5617  1 Co 2.23, 2 Si 2.39
Si 0.5000 0.8623 0.8623  2 Co 2.28, 2 Pt 2.46
Pt 0.0000 0.7789 0.7789  5 Si 2.36-2.46

***

Density functional theory data (PBE-GGA) for ErPu2Co9 after structural relaxation.

* E_form: 47 meV/atom
* energy: -8.02 eV/atom
* symmetry: R-3m
* magnetization: 0.06 μB/f.u.

Unit cell a=8.4513 b=8.4513 c=8.4513 alpha=32.52 beta=32.52 gamma=32.52
Last column: nearest neighbours and their distance in Å.
Atoms (fractional coordinates):
Er 0.0000 0.0000 0.0000  6 Co 2.73
Pu 0.1455 0.1455 0.1455  12 Co 2.78-2.88, 3 Pu 2.92
Pu 0.8545 0.8545 0.8545  12 Co 2.78-2.88, 3 Pu 2.92
Co 0.0827 0.5822 0.5822  7 Co 2.36-2.44
Co 0.3325 0.3325 0.3325  6 Co 2.39-2.42
Co 0.4178 0.4178 0.9173  7 Co 2.36-2.44
Co 0.4178 0.9173 0.4178  7 Co 2.36-2.44
Co 0.5000 0.5000 0.5000  6 Co 2.44
Co 0.5822 0.0827 0.5822  7 Co 2.36-2.44
Co 0.5822 0.5822 0.0827  7 Co 2.36-2.44
Co 0.6675 0.6675 0.6675  6 Co 2.39-2.42
Co 0.9173 0.4178 0.4178  7 Co 2.36-2.44

***

Density functional theory data (PBE-GGA) for Er2PuCo2 after structural relaxation.

* E_form: -241 meV/atom
* energy: -7.73 eV/atom
* symmetry: C2/c
* magnetization: 4.51 μB/f.u.

Unit cell a=5.7682 b=5.7682 c=7.1901 alpha=99.49 beta=99.49 gamma=60.01
Last column: nearest neighbours and their distance in Å.
Atoms (fractional coordinates):
Er 0.0323 0.2703 0.1488  4 Co 2.86-2.93
Er 0.2703 0.0323 0.6488  4 Co 2.86-2.93
Er 0.7297 0.9677 0.3512  4 Co 2.86-2.93
Er 0.9677 0.7297 0.8512  4 Co 2.86-2.93
Pu 0.3991 0.6009 0.2500  4 Co 2.51-2.59
Pu 0.6009 0.3991 0.7500  4 Co 2.51-2.59
Co 0.2037 0.4968 0.4905  1 Co 2.36, 2 Pu 2.51-2.59
Co 0.4968 0.2037 0.9905  1 Co 2.36, 2 Pu 2.51-2.59
Co 0.5032 0.7963 0.0095  1 Co 2.36, 2 Pu 2.51-2.59
Co 0.7963 0.5032 0.5095  1 Co 2.36, 2 Pu 2.51-2.59

***

Density functional theory data (PBE-GGA) for ErPuCo after structural relaxation.

* E_form: 37 meV/atom
* energy: -8.56 eV/atom
* symmetry: F-43m
* magnetization: 5.68 μB/f.u.

Unit cell a=4.6039 b=4.6039 c=4.6039 alpha=60.00 beta=60.00 gamma=60.00
Last column: nearest neighbours and their distance in Å.
Atoms (fractional coordinates):
Er 0.0000 0.0000 0.0000  4 Co 2.82
Pu 0.5000 0.5000 0.5000  4 Co 2.82
Co 0.2500 0.2500 0.2500  4 Pu 2.82, 4 Er 2.82

***

Density functional theory data (PBE-GGA) for ErCoRe after structural relaxation.

* E_form: 1518 meV/atom
* energy: -6.51 eV/atom
* symmetry: F-43m
* magnetization: 3.17 μB/f.u.

Unit cell a=4.4159 b=4.4159 c=4.4159 alpha=60.00 beta=60.00 gamma=60.00
Last column: nearest neighbours and their distance in Å.
Atoms (fractional coordinates):
Er 0.0000 0.0000 0.0000  4 Re 2.70, 4 Co 2.70
Co 0.7500 0.7500 0.7500  4 Er 2.70
Re 0.2500 0.2500 0.2500  4 Er 2.70

***

Density functional theory data (PBE-GGA) for Er2CoS4 after structural relaxation.

* energy: -6.11 eV/atom
* symmetry: Fd-3m
* magnetization: 3.00 μB/f.u.

Unit cell a=7.6593 b=7.6593 c=7.6593 alpha=60.00 beta=60.00 gamma=60.00
Last column: nearest neighbours and their distance in Å.
Atoms (fractional coordinates):
Er 0.0000 0.0000 0.0000  6 S 2.71
Er 0.0000 0.0000 0.5000  6 S 2.71
Er 0.0000 0.5000 0.0000  6 S 2.71
Er 0.5000 0.0000 0.0000  6 S 2.71
Co 0.3750 0.3750 0.3750  4 S 2.34
Co 0.6250 0.6250 0.6250  4 S 2.34
S 0.2500 0.2500 0.2500  1 Co 2.34
S 0.2500 0.2500 0.7499  1 Co 2.34
S 0.2500 0.7499 0.2500  1 Co 2.34
S 0.2501 0.7500 0.7500  1 Co 2.34
S 0.7499 0.2500 0.2500  1 Co 2.34
S 0.7500 0.2501 0.7500  1 Co 2.34
S 0.7500 0.7500 0.2501  1 Co 2.34
S 0.7500 0.7500 0.7500  1 Co 2.34